This record from Alexandria via LeMat-Bulk describes an optimized crystal structure of ZnIrBr2. The functional is PBE-GGA.

Cell lengths 3.473, 3.473, 9.145 Å; angles 90.00, 90.00, 120.34 degrees
Element x y z (fractional)
Zn 0.000 0.000 0.000
Ir 0.500 0.500 0.787
Br 0.000 0.000 0.597
Br 0.500 0.500 0.194

DOS(E_F), states/eV/cell: 3.34
Size of the total moment, μB/f.u.: 0.00
Polymorph energy (0 for the lowest one), eV per formula unit: 0.853
Crystal system: orthorhombic
Total energy, eV/atom: -3.136

***

This record from Alexandria via LeMat-Bulk describes an optimized crystal structure of ZnIrBr2. The functional is PBE-GGA.

Cell lengths 7.836, 7.836, 7.836 Å; angles 155.64, 149.14, 39.70 degrees
Element x y z (fractional)
Zn 0.000 0.000 0.000
Ir 0.500 0.500 0.000
Br 0.363 0.863 0.500
Br 0.637 0.137 0.500

DOS(E_F), states/eV/cell: 2.55
Size of the total moment, μB/f.u.: 0.01
Polymorph energy (0 for the lowest one), eV per formula unit: 0.382
Crystal system: orthorhombic
Total energy, eV/atom: -3.254

***

This record from Alexandria via LeMat-Bulk describes an optimized crystal structure of ZnIr2Br. The functional is PBE-GGA.

Cell lengths 4.627, 4.627, 2.972 Å; angles 90.00, 90.00, 100.39 degrees
Element x y z (fractional)
Zn 0.000 0.000 0.000
Ir 0.000 0.500 0.500
Ir 0.500 0.000 0.500
Br 0.500 0.500 0.000

DOS(E_F), states/eV/cell: 2.47
Size of the total moment, μB/f.u.: 0.00
Polymorph energy (0 for the lowest one), eV per formula unit: 1.877
Crystal system: orthorhombic
Total energy, eV/atom: -4.426

***

This record from Alexandria via LeMat-Bulk describes an optimized crystal structure of ZnIrBr2. The functional is PBE-GGA.

Cell lengths 8.036, 8.036, 8.036 Å; angles 156.85, 151.09, 37.36 degrees
Element x y z (fractional)
Zn 0.000 0.000 0.000
Ir 0.866 0.366 0.500
Br 0.335 0.835 0.500
Br 0.583 0.583 0.000

DOS(E_F), states/eV/cell: 1.95
Size of the total moment, μB/f.u.: 0.00
Polymorph energy (0 for the lowest one), eV per formula unit: 1.006
Crystal system: orthorhombic
Total energy, eV/atom: -3.097

***

This record from Alexandria via LeMat-Bulk describes an optimized crystal structure of ZnIrBr2. The functional is PBE-GGA.

Cell lengths 5.199, 4.932, 4.923 Å; angles 63.68, 58.24, 58.07 degrees
Element x y z (fractional)
Zn 0.000 0.000 0.000
Ir 0.500 0.500 0.500
Br 0.000 0.500 0.500
Br 0.500 0.000 0.000

DOS(E_F), states/eV/cell: 3.85
Size of the total moment, μB/f.u.: 0.41
Polymorph energy (0 for the lowest one), eV per formula unit: 2.146
Crystal system: orthorhombic
Total energy, eV/atom: -2.813

***

This record from Alexandria via LeMat-Bulk describes an optimized crystal structure of ZnIr2Br. The functional is PBE-GGA.

Cell lengths 5.379, 5.379, 4.443 Å; angles 90.50, 90.50, 30.94 degrees
Element x y z (fractional)
Zn 0.000 0.000 0.000
Ir 0.222 0.222 0.494
Ir 0.488 0.488 0.499
Br 0.748 0.748 0.995

DOS(E_F), states/eV/cell: 2.91
Size of the total moment, μB/f.u.: 0.00
Polymorph energy (0 for the lowest one), eV per formula unit: 1.255
Crystal system: monoclinic
Total energy, eV/atom: -4.581

***

This record from Alexandria via LeMat-Bulk describes an optimized crystal structure of ZnIrBr2. The functional is PBE-GGA.

Cell lengths 4.849, 4.849, 3.226 Å; angles 90.00, 90.00, 90.00 degrees
Element x y z (fractional)
Zn 0.000 0.000 0.000
Ir 0.500 0.500 0.000
Br 0.000 0.500 0.500
Br 0.500 0.000 0.500

DOS(E_F), states/eV/cell: 3.37
Size of the total moment, μB/f.u.: 0.00
Polymorph energy (0 for the lowest one), eV per formula unit: 3.150
Crystal system: tetragonal
Total energy, eV/atom: -2.562

***

This record from Alexandria via LeMat-Bulk describes an optimized crystal structure of ZnIr2Br. The functional is PBE-GGA.

Cell lengths 2.907, 2.907, 8.940 Å; angles 90.00, 90.00, 121.55 degrees
Element x y z (fractional)
Zn 0.000 0.000 0.000
Ir 0.500 0.500 0.238
Ir 0.500 0.500 0.762
Br 0.000 0.000 0.500

DOS(E_F), states/eV/cell: 4.08
Size of the total moment, μB/f.u.: 0.00
Polymorph energy (0 for the lowest one), eV per formula unit: 1.228
Crystal system: orthorhombic
Total energy, eV/atom: -4.588

***

This record from Alexandria via LeMat-Bulk describes an optimized crystal structure of ZnIrBr2. The functional is PBE-GGA.

Cell lengths 7.116, 7.116, 7.116 Å; angles 150.02, 150.02, 42.91 degrees
Element x y z (fractional)
Zn 0.000 0.000 0.000
Ir 0.750 0.250 0.500
Br 0.250 0.750 0.500
Br 0.500 0.500 0.000

DOS(E_F), states/eV/cell: 4.17
Size of the total moment, μB/f.u.: 0.31
Polymorph energy (0 for the lowest one), eV per formula unit: 2.607
Crystal system: tetragonal
Total energy, eV/atom: -2.697

***

This record from Alexandria via LeMat-Bulk describes an optimized crystal structure of ZnIrBr2. The functional is PBE-GGA.

Cell lengths 7.562, 7.562, 7.562 Å; angles 125.43, 125.43, 80.82 degrees
Element x y z (fractional)
Zn 0.000 0.000 0.000
Zn 0.750 0.250 0.500
Ir 0.250 0.750 0.500
Ir 0.500 0.500 0.000
Br 0.240 0.625 0.115
Br 0.375 0.490 0.615
Br 0.510 0.125 0.885
Br 0.875 0.760 0.385

DOS(E_F), states/eV/cell: 5.84
Size of the total moment, μB/f.u.: 0.00
Polymorph energy (0 for the lowest one), eV per formula unit: 2.276
Crystal system: tetragonal
Total energy, eV/atom: -2.780

***

This record from Alexandria via LeMat-Bulk describes an optimized crystal structure of ZnIrBr2. The functional is PBE-GGA.

Cell lengths 4.048, 4.048, 9.366 Å; angles 103.73, 103.73, 54.34 degrees
Element x y z (fractional)
Zn 0.000 0.000 0.000
Ir 0.500 0.500 0.500
Br 0.191 0.191 0.649
Br 0.809 0.809 0.351

DOS(E_F), states/eV/cell: 0.55
Size of the total moment, μB/f.u.: 0.99
Polymorph energy (0 for the lowest one), eV per formula unit: 1.562
Crystal system: monoclinic
Total energy, eV/atom: -2.958

***

This record from Alexandria via LeMat-Bulk describes an optimized crystal structure of ZnIr2Br. The functional is PBE-GGA.

Cell lengths 2.869, 2.869, 10.115 Å; angles 90.00, 90.00, 122.13 degrees
Element x y z (fractional)
Zn 0.000 0.000 0.000
Ir 0.000 0.000 0.439
Ir 0.500 0.500 0.219
Br 0.500 0.500 0.677

DOS(E_F), states/eV/cell: 2.96
Size of the total moment, μB/f.u.: 0.00
Polymorph energy (0 for the lowest one), eV per formula unit: 1.117
Crystal system: orthorhombic
Total energy, eV/atom: -4.616